PBE Nd4Dy3Ho4, relaxed; M_tot = 0.00 μB/cell; DOS(E_F) = 17.7 states/eV per cell; final energy = -4.53 eV per atom; SG = No. 71; offset from the most stable computed form = 0.00 eV per formula unit
1.0
-1.800 4.710 10.916
1.800 -4.710 10.916
1.800 4.710 -10.916
Nd Dy Ho
4 3 4
Direct
0.034 0.855 0.178 Nd
0.323 0.145 0.178 Nd
0.677 0.855 0.822 Nd
0.966 0.145 0.822 Nd
0.000 0.500 0.500 Dy
0.393 0.393 0.000 Dy
0.607 0.607 0.000 Dy
0.260 0.760 0.500 Ho
0.317 0.000 0.317 Ho
0.683 0.000 0.683 Ho
0.740 0.240 0.500 Ho

---

PBE Nd3Dy2Ho6, relaxed; M_tot = 0.00 μB/cell; DOS(E_F) = 16.4 states/eV per cell; final energy = -4.48 eV per atom; SG = No. 65; offset from the most stable computed form = 0.00 eV per formula unit
1.0
2.851 -6.050 0.000
2.851 6.050 0.000
0.000 0.000 10.449
Nd Dy Ho
3 2 6
Direct
0.000 0.000 0.000 Nd
0.294 0.706 0.000 Nd
0.706 0.294 0.000 Nd
0.368 0.632 0.500 Dy
0.632 0.368 0.500 Dy
0.150 0.850 0.303 Ho
0.150 0.850 0.697 Ho
0.500 0.500 0.212 Ho
0.500 0.500 0.788 Ho
0.850 0.150 0.303 Ho
0.850 0.150 0.697 Ho

---

PBE Nd7Dy12Ho, relaxed; M_tot = 0.00 μB/cell; DOS(E_F) = 28.1 states/eV per cell; final energy = -4.02 eV per atom; SG = No. 229; offset from the most stable computed form = 8.17 eV per formula unit
1.0
-5.666 5.666 5.666
5.666 -5.666 5.666
5.666 5.666 -5.666
Nd Dy Ho
7 12 1
Direct
0.000 0.000 0.500 Nd
0.000 0.500 0.000 Nd
0.000 0.500 0.500 Nd
0.500 0.000 0.000 Nd
0.500 0.000 0.500 Nd
0.500 0.500 0.000 Nd
0.500 0.500 0.500 Nd
0.000 0.246 0.754 Dy
0.000 0.754 0.246 Dy
0.246 0.000 0.754 Dy
0.246 0.246 0.492 Dy
0.246 0.492 0.246 Dy
0.246 0.754 0.000 Dy
0.492 0.246 0.246 Dy
0.508 0.754 0.754 Dy
0.754 0.000 0.246 Dy
0.754 0.246 0.000 Dy
0.754 0.508 0.754 Dy
0.754 0.754 0.508 Dy
0.000 0.000 0.000 Ho

---

What is the formula in the first record? Nd4Dy3Ho4

---

Which formula does entry 3 have? Nd7Dy12Ho

---

What is the formula in the first record? Nd4Dy3Ho4